# 1
# TbLuGaPb

TbLuGaPb after structural relaxation (PBE, Alexandria via LeMat-Bulk).

The space group is F-43m, No. 216. The value obtained for the calculated formation energy is -0.392 eV/atom.

Cell: 5.241 5.241 5.241 Å, 60.00 60.00 60.00°
Positions (direct):
1 Tb 0.000 0.000 0.000
2 Lu 0.500 0.500 0.500
3 Ga 0.250 0.250 0.250
4 Pb 0.750 0.750 0.750


# 2
# MgSbBr

MgSbBr after structural relaxation (PBE, Alexandria via LeMat-Bulk).

The uncorrected formation energy is -11.46 kcal/mol of atoms. The space group is I4mm, No. 107.

Cell: 8.902 8.902 8.902 Å, 158.39 158.39 30.75°
Positions (direct):
1 Mg 0.000 0.000 0.000
2 Sb 0.371 0.371 0.000
3 Br 0.591 0.591 0.000


# 3
# BPPdCl2

BPPdCl2 after structural relaxation (PBE, Alexandria via LeMat-Bulk).

The uncorrected formation energy is 17.41 kcal/mol of atoms. The space group is P4/mmm, No. 123.

Cell: 4.317 4.317 4.275 Å, 90.00 90.00 90.00°
Positions (direct):
1 B 0.000 0.000 0.000
2 P 0.000 0.000 0.500
3 Pd 0.500 0.500 0.500
4 Cl 0.000 0.500 0.000
5 Cl 0.500 0.000 0.000


# 4
# Pa2CrH6

Pa2CrH6 after structural relaxation (PBE, Alexandria via LeMat-Bulk).

The total DFT energy (no corrections) comes out at -5.6241 eV per atom. The space group is P2_1/c, No. 14.

Cell: 6.398 4.057 7.786 Å, 90.00 122.37 90.00°
Positions (direct):
1 Pa 0.223 0.114 0.228
2 Pa 0.223 0.386 0.728
3 Pa 0.777 0.614 0.272
4 Pa 0.777 0.886 0.772
5 Cr 0.500 0.000 0.000
6 Cr 0.500 0.500 0.500
7 H 0.014 0.148 0.396
8 H 0.014 0.352 0.896
9 H 0.219 0.660 0.449
10 H 0.219 0.840 0.949
11 H 0.419 0.627 0.266
12 H 0.419 0.873 0.766
13 H 0.581 0.127 0.234
14 H 0.581 0.373 0.734
15 H 0.781 0.160 0.051
16 H 0.781 0.340 0.551
17 H 0.986 0.648 0.104
18 H 0.986 0.852 0.604


# 5
# Rb2LiReS4

Rb2LiReS4 after structural relaxation (PBE, Alexandria via LeMat-Bulk).

The uncorrected formation energy is -18.76 kcal/mol of atoms. The space group is I-4, No. 82.

Cell: 6.758 6.758 6.758 Å, 113.69 113.69 101.33°
Positions (direct):
1 Rb 0.000 0.000 0.000
2 Rb 0.750 0.250 0.500
3 Li 0.500 0.500 0.000
4 Re 0.250 0.750 0.500
5 S 0.263 0.110 0.588
6 S 0.325 0.737 0.847
7 S 0.522 0.675 0.412
8 S 0.890 0.478 0.153


# 6
# Rb2HgGeI6

Rb2HgGeI6 after structural relaxation (PBE, Alexandria via LeMat-Bulk).

The uncorrected formation energy is -17.76 kcal/mol of atoms. The space group is R3, No. 146.

Cell: 9.620 9.620 9.620 Å, 52.55 52.55 52.55°
Positions (direct):
1 Rb 0.000 0.000 0.000
2 Rb 0.484 0.484 0.484
3 Hg 0.217 0.217 0.217
4 Ge 0.767 0.767 0.767
5 I 0.027 0.637 0.474
6 I 0.129 0.570 0.938
7 I 0.474 0.027 0.637
8 I 0.570 0.938 0.129
9 I 0.637 0.474 0.027
10 I 0.938 0.129 0.570


# 7
# WI2Cl2

WI2Cl2 after structural relaxation (PBE, Alexandria via LeMat-Bulk).

The uncorrected formation energy is -10.37 kcal/mol of atoms. The space group is C2/m, No. 12.

Cell: 7.682 7.682 7.241 Å, 117.68 117.68 68.42°
Positions (direct):
1 W 0.000 0.000 0.191
2 W 0.000 0.000 0.809
3 I 0.176 0.176 0.673
4 I 0.221 0.221 0.218
5 I 0.779 0.779 0.782
6 I 0.824 0.824 0.327
7 Cl 0.268 0.732 0.223
8 Cl 0.268 0.732 0.777
9 Cl 0.732 0.268 0.223
10 Cl 0.732 0.268 0.777


# 8
# Ba3Nd3SmSe8

Ba3Nd3SmSe8 after structural relaxation (PBE, Alexandria via LeMat-Bulk).

The uncorrected formation energy is -44.73 kcal/mol of atoms. The space group is R-3m, No. 166.

Cell: 9.067 9.067 9.067 Å, 57.04 57.04 57.04°
Positions (direct):
1 Ba 0.000 0.500 0.500
2 Ba 0.500 0.000 0.500
3 Ba 0.500 0.500 0.000
4 Nd 0.000 0.000 0.500
5 Nd 0.000 0.500 0.000
6 Nd 0.500 0.000 0.000
7 Sm 0.500 0.500 0.500
8 Se 0.241 0.241 0.241
9 Se 0.242 0.738 0.738
10 Se 0.262 0.262 0.758
11 Se 0.262 0.758 0.262
12 Se 0.738 0.242 0.738
13 Se 0.738 0.738 0.242
14 Se 0.758 0.262 0.262
15 Se 0.759 0.759 0.759